{"formula": "PrCu4Pd", "functional": "PBE", "state": "relaxed", "cell": [[5.183, 0.000, 0.000], [-2.591, 4.488, 0.000], [0.000, 0.000, 4.221]], "species": ["Pr", "Cu", "Cu", "Cu", "Cu", "Pd"], "fractional_positions": [[0.000, 0.000, 0.000], [0.503, 0.007, 0.500], [0.503, 0.497, 0.500], [0.667, 0.333, 0.000], [0.993, 0.497, 0.500], [0.333, 0.667, 0.000]], "e_tot_ev_per_cell": -28.07, "ef_ev_per_atom": -0.28, "vol_a3_per_cell": 98.2, "crystal_system": "hexagonal"}

---

{"formula": "LaSc2Ta", "functional": "PBE", "state": "relaxed", "cell": [[6.396, 0.000, 0.000], [0.000, 9.205, 0.000], [0.000, 0.000, 3.238]], "species": ["La", "La", "Sc", "Sc", "Sc", "Sc", "Ta", "Ta"], "fractional_positions": [[0.000, 0.000, 0.000], [0.500, 0.500, 0.000], [0.250, 0.250, 0.500], [0.250, 0.750, 0.500], [0.750, 0.250, 0.500], [0.750, 0.750, 0.500], [0.000, 0.500, 0.000], [0.500, 0.000, 0.000]], "e_tot_ev_per_cell": -56.45, "ef_ev_per_atom": 0.30, "vol_a3_per_cell": 190.6, "crystal_system": "orthorhombic"}

---

{"formula": "CuIrW", "functional": "PBE", "state": "relaxed", "cell": [[5.903, 0.000, 0.000], [0.000, 5.903, 0.000], [0.000, 0.000, 5.903]], "species": ["Cu", "Cu", "Cu", "Cu", "Ir", "Ir", "Ir", "Ir", "W", "W", "W", "W"], "fractional_positions": [[0.000, 0.000, 0.000], [0.000, 0.500, 0.500], [0.500, 0.000, 0.500], [0.500, 0.500, 0.000], [0.000, 0.000, 0.500], [0.000, 0.500, 0.000], [0.500, 0.000, 0.000], [0.500, 0.500, 0.500], [0.250, 0.250, 0.750], [0.250, 0.750, 0.250], [0.750, 0.250, 0.250], [0.750, 0.750, 0.750]], "e_tot_ev_per_cell": -96.79, "ef_ev_per_atom": 0.57, "vol_a3_per_cell": 205.7, "crystal_system": "cubic"}

---

{"formula": "PmYTe2", "functional": "PBE", "state": "relaxed", "cell": [[5.413, 0.000, 0.000], [0.000, 5.413, 0.000], [0.000, 0.000, 3.823]], "species": ["Pm", "Y", "Te", "Te"], "fractional_positions": [[0.000, 0.000, 0.000], [0.500, 0.500, 0.000], [0.000, 0.500, 0.500], [0.500, 0.000, 0.500]], "e_form_raw_ev_per_fu": -4.97, "e_tot_ev_per_cell": -22.47, "vol_a3_per_cell": 112.0, "crystal_system": "tetragonal"}

---

{"formula": "AgPbNF2", "functional": "PBE", "state": "relaxed", "cell": [[4.536, 0.000, 0.000], [0.000, 4.536, 0.000], [0.000, 0.000, 4.431]], "species": ["Ag", "Pb", "N", "F", "F"], "fractional_positions": [[0.000, 0.000, 0.000], [0.500, 0.500, 0.500], [0.500, 0.500, 0.000], [0.000, 0.500, 0.500], [0.500, 0.000, 0.500]], "e_form_raw_ev_per_fu": -1.36, "e_tot_ev_per_cell": -19.99, "vol_a3_per_cell": 91.2, "crystal_system": "tetragonal"}

---

{"formula": "Re2NiPt", "functional": "PBE", "state": "relaxed", "cell": [[2.754, 0.000, 0.000], [0.000, 2.754, 0.000], [0.000, 0.000, 7.483]], "species": ["Re", "Re", "Ni", "Pt"], "fractional_positions": [[0.000, 0.000, 0.000], [0.500, 0.500, 0.254], [0.000, 0.000, 0.486], [0.500, 0.500, 0.736]], "e_tot_ev_per_cell": -36.82, "ef_ev_per_atom": -0.03, "vol_a3_per_cell": 56.7, "crystal_system": "tetragonal"}